! HfBe2W (PBE-GGA, relaxed); values from VASP
! energy relative to the elements	0.7457	eV per atom
! energy relative to the lowest polymorph listed for this composition	612.5	meV per atom
! calculated density	9.68	g cm⁻³
! spin magnetization	0.0	Bohr magnetons per cell
&SYSTEM
  ibrav = 0, nat = 8, ntyp = 3
/
ATOMIC_SPECIES
Be 9.01 Be.upf
W 183.84 W.upf
Hf 178.49 Hf.upf
ATOMIC_POSITIONS crystal
Be 0.7817 0.1250 0.2500
Be 0.8750 0.0317 0.7500
Be 0.9683 0.6250 0.2500
Be 0.3750 0.2183 0.7500
W 0.7500 0.2500 0.5000
W 0.0000 0.0000 0.0000
Hf 0.5000 0.5000 0.0000
Hf 0.2500 0.7500 0.5000
CELL_PARAMETERS angstrom
3.9683 0.0000 0.0000
0.0000 3.9683 0.0000
1.9842 1.9842 8.2849

***

! FeSiC2 (PBE-GGA, relaxed); values from VASP
! total energy	-7.6286	eV/atom
! calculated density	4.32	g cm⁻³
! spin magnetization	1.5	Bohr magnetons per cell
&SYSTEM
  ibrav = 0, nat = 12, ntyp = 3
/
ATOMIC_SPECIES
C 12.01 C.upf
Si 28.09 Si.upf
Fe 55.84 Fe.upf
ATOMIC_POSITIONS crystal
C 0.6667 0.3333 0.3615
C 0.0000 0.0000 0.0281
C 0.0000 0.0000 0.1210
C 0.6667 0.3333 0.4543
C 0.3333 0.6667 0.6948
C 0.3333 0.6667 0.7876
Si 0.6667 0.3333 0.9799
Si 0.3333 0.6667 0.3132
Si 0.0000 0.0000 0.6465
Fe 0.0000 0.0000 0.5029
Fe 0.6667 0.3333 0.8363
Fe 0.3333 0.6667 0.1696
CELL_PARAMETERS angstrom
3.0036 0.0000 0.0000
-1.5018 2.6012 0.0000
0.0000 0.0000 15.9463

***

! Tb5InAg4 (PBE-GGA, relaxed); values from VASP
! energy relative to the elements	-0.3456	eV per atom
! calculated density	8.95	g cm⁻³
! spin magnetization	0.0	Bohr magnetons per cell
&SYSTEM
  ibrav = 0, nat = 10, ntyp = 3
/
ATOMIC_SPECIES
Ag 107.87 Ag.upf
Tb 158.93 Tb.upf
In 114.82 In.upf
ATOMIC_POSITIONS crystal
Ag 0.0000 0.0000 0.5975
Ag 0.0000 0.0000 0.2058
Ag 0.0000 0.0000 0.7942
Ag 0.0000 0.0000 0.4025
Tb 0.5000 0.5000 0.3039
Tb 0.5000 0.5000 0.6961
Tb 0.5000 0.5000 0.1080
Tb 0.5000 0.5000 0.5000
Tb 0.5000 0.5000 0.8920
In 0.0000 0.0000 0.0000
CELL_PARAMETERS angstrom
-1.2502 -3.4024 0.2359
1.8906 -0.9005 -2.9681
14.7275 -4.6634 10.7959

***

! CdInIr (PBE-GGA, relaxed); values from VASP
! energy relative to the elements	0.1050	eV per atom
! calculated density	11.83	g cm⁻³
! spin magnetization	0.0	Bohr magnetons per cell
&SYSTEM
  ibrav = 0, nat = 3, ntyp = 3
/
ATOMIC_SPECIES
Ir 192.22 Ir.upf
In 114.82 In.upf
Cd 112.41 Cd.upf
ATOMIC_POSITIONS crystal
Ir 0.3294 0.3294 0.6706
In 0.6902 0.6902 0.3098
Cd 0.9805 0.9805 0.0195
CELL_PARAMETERS angstrom
6.4995 -0.0132 0.0139
5.7654 3.0002 0.0208
0.7342 0.1709 3.0086